DFT (PBE) results for CrRhSe2 after structural relaxation.

```
4
Lattice="4.581 -1.672 0.000 4.581 1.672 0.000 -0.791 0.000 4.336" Properties=species:S:1:pos:R:3 pbc="T T T"
Cr 0.000 0.000 0.000
Rh 1.661 0.000 2.878
Se 4.133 0.000 2.267
Se 6.702 0.000 0.459
```

Summary:
* SG: Cm
* raw formation energy: -0.094 eV per atom
* DOS at the Fermi energy: 2.0 states/eV per cell
* ΔE to the lowest computed polymorph: 229 meV/atom
* mass density: 7.8 Mg/m³
* E: -6.08 eV/atom

---

DFT (PBE) results for PmY2Sb after structural relaxation.

```
4
Lattice="3.990 0.000 0.000 0.000 3.990 0.000 0.000 0.000 7.433" Properties=species:S:1:pos:R:3 pbc="T T T"
Pm 0.000 0.000 0.000
Y 1.995 1.995 2.091
Y 1.995 1.995 5.343
Sb 0.000 0.000 3.717
```

Summary:
* SG: P4/mmm
* raw formation energy: -0.492 eV per atom
* DOS at the Fermi energy: 4.5 states/eV per cell
* ΔE to the lowest computed polymorph: 100 meV/atom
* mass density: 6.2 Mg/m³
* E: -5.94 eV/atom